[1]
Here is a relaxed TlGaW4N2 crystal from OQMD. Energies are from PBE.

Cell lengths 2.893, 2.893, 15.233 Å; angles 90.00, 90.00, 120.00 degrees
Fractional coordinates of all 8 atoms:
1 Ga 0.000 0.000 0.000
2 N 0.333 0.667 0.240
3 N 0.333 0.667 0.760
4 Tl 0.667 0.333 0.500
5 W 0.667 0.333 0.146
6 W 0.000 0.000 0.333
7 W 0.000 0.000 0.667
8 W 0.667 0.333 0.854

Calculated values
spin magnetization	0.003	Bohr magnetons per cell
DFT total energy	-71.2	eV/cell


[2]
Here is a relaxed GaW3N2 crystal from OQMD. Energies are from PBE.

Cell lengths 3.149, 3.149, 17.433 Å; angles 90.00, 90.00, 120.00 degrees
Fractional coordinates of all 12 atoms:
1 Ga 0.000 0.000 0.250
2 Ga 0.000 0.000 0.750
3 N 0.333 0.667 0.067
4 N 0.333 0.667 0.433
5 N 0.667 0.333 0.567
6 N 0.667 0.333 0.933
7 W 0.000 0.000 0.000
8 W 0.667 0.333 0.131
9 W 0.667 0.333 0.369
10 W 0.000 0.000 0.500
11 W 0.333 0.667 0.631
12 W 0.333 0.667 0.869

Calculated values
spin magnetization	0.014	Bohr magnetons per cell
DFT total energy	-113.7	eV/cell


[3]
Here is a relaxed Y2Ga3W4N3 crystal from OQMD. Energies are from PBE.

Cell lengths 5.528, 5.528, 13.640 Å; angles 102.10, 102.10, 60.40 degrees
Fractional coordinates of all 24 atoms:
1 Ga 0.897 0.586 0.249
2 Ga 0.929 0.071 0.250
3 Ga 0.414 0.103 0.251
4 Ga 0.586 0.897 0.749
5 Ga 0.071 0.929 0.750
6 Ga 0.103 0.414 0.751
7 N 0.000 0.500 0.000
8 N 0.657 0.187 0.000
9 N 0.813 0.343 0.500
10 N 0.500 0.000 0.500
11 N 0.187 0.657 0.500
12 N 0.343 0.813 0.000
13 W 0.040 0.185 0.076
14 W 0.696 0.869 0.076
15 W 0.131 0.304 0.424
16 W 0.815 0.960 0.424
17 W 0.185 0.040 0.576
18 W 0.869 0.696 0.576
19 W 0.304 0.131 0.924
20 W 0.960 0.815 0.924
21 Y 0.375 0.540 0.118
22 Y 0.460 0.625 0.382
23 Y 0.540 0.375 0.618
24 Y 0.625 0.460 0.882

Calculated values
spin magnetization	0.006	Bohr magnetons per cell
DFT total energy	-208.2	eV/cell


[4]
Here is a relaxed ZnGaW4N2 crystal from OQMD. Energies are from PBE.

Cell lengths 2.830, 2.830, 14.864 Å; angles 90.00, 90.00, 120.00 degrees
Fractional coordinates of all 8 atoms:
1 Ga 0.333 0.667 0.500
2 N 0.000 0.000 0.251
3 N 0.000 0.000 0.749
4 W 0.333 0.667 0.153
5 W 0.667 0.333 0.349
6 W 0.667 0.333 0.651
7 W 0.333 0.667 0.847
8 Zn 0.667 0.333 0.000

Calculated values
spin magnetization	0.008	Bohr magnetons per cell
DFT total energy	-72.1	eV/cell